Here is a relaxed Ca2ZrCuF crystal from Alexandria. Energies are from GGA-PBE.

Properties
- Formation energy without anion corrections: -568 meV/atom
- Symmetry: P4/mmm
- Spin magnetization: 0.470 μB/atom

abc: 4.5376 5.4902 4.5376
angles: 90.00 90.00 90.00
Atoms (fractional coordinates):
F (0.0000, 0.0000, 0.0000)
Cu (0.0000, 0.5000, 0.0000)
Ca (0.5000, 0.0000, 0.0000)
Zr (0.5000, 0.5000, 0.5000)
Ca (0.0000, 0.0000, 0.5000)

Here is a relaxed Ca2FeCu crystal from Alexandria. Energies are from GGA-PBE.

Properties
- ΔH_f (0 K): 0.603 eV/atom
- Symmetry: I-42d
- E above lowest polymorph: 1.62 eV per formula unit
- Spin magnetization: 0.519 μB/atom

abc: 7.8215 7.8215 6.3141
angles: 51.73 51.73 90.00
Atoms (fractional coordinates):
Cu (0.0000, 0.0000, 0.0000)
Cu (0.7500, 0.2500, 0.5000)
Fe (0.5000, 0.5000, 0.0000)
Ca (0.6399, 0.1250, 0.2500)
Fe (0.2500, 0.7500, 0.5000)
Ca (0.8750, 0.8899, 0.7500)
Ca (0.3750, 0.3601, 0.7500)
Ca (0.1101, 0.6250, 0.2500)

Here is a relaxed Ca2FeCu crystal from Alexandria. Energies are from GGA-PBE.

Properties
- ΔH_f (0 K): 0.378 eV/atom
- Symmetry: Fm-3m
- E above lowest polymorph: 0.72 eV per formula unit
- Spin magnetization: 0.512 μB/atom

abc: 5.0338 5.0338 5.0338
angles: 60.00 60.00 60.00
Atoms (fractional coordinates):
Ca (0.7500, 0.7500, 0.7500)
Fe (0.0000, 0.0000, 0.0000)
Ca (0.2500, 0.2500, 0.2500)
Cu (0.5000, 0.5000, 0.5000)

Here is a relaxed Ca2FeCu2 crystal from Alexandria. Energies are from GGA-PBE.

Properties
- ΔH_f (0 K): 0.193 eV/atom
- Symmetry: P4/mbm
- Spin magnetization: 0.538 μB/atom

abc: 6.8566 6.8566 4.3798
angles: 90.00 90.00 90.00
Atoms (fractional coordinates):
Ca (0.3213, 0.1787, 0.5000)
Cu (0.8707, 0.6293, 0.0000)
Cu (0.1293, 0.3707, 0.0000)
Cu (0.3707, 0.8707, 0.0000)
Ca (0.1787, 0.6787, 0.5000)
Fe (0.5000, 0.5000, 0.0000)
Ca (0.8213, 0.3213, 0.5000)
Cu (0.6293, 0.1293, 0.0000)
Ca (0.6787, 0.8213, 0.5000)
Fe (0.0000, 0.0000, 0.0000)

Here is a relaxed CaFe2Cu2 crystal from Alexandria. Energies are from GGA-PBE.

Properties
- ΔH_f (0 K): 0.256 eV/atom
- Symmetry: P4/mbm
- E above lowest polymorph: 0.16 eV per formula unit
- Spin magnetization: 0.963 μB/atom

abc: 7.4173 7.4173 2.6998
angles: 90.00 90.00 90.00
Atoms (fractional coordinates):
Fe (0.8890, 0.6110, 0.0000)
Cu (0.6790, 0.8210, 0.5000)
Ca (0.0000, 0.0000, 0.0000)
Fe (0.6110, 0.1110, 0.0000)
Cu (0.3210, 0.1790, 0.5000)
Cu (0.8210, 0.3210, 0.5000)
Cu (0.1790, 0.6790, 0.5000)
Fe (0.1110, 0.3890, 0.0000)
Fe (0.3890, 0.8890, 0.0000)
Ca (0.5000, 0.5000, 0.0000)

Here is a relaxed Ca4FeCu crystal from Alexandria. Energies are from GGA-PBE.

Properties
- ΔH_f (0 K): 0.969 eV/atom
- Symmetry: F-43m
- Spin magnetization: 0.389 μB/atom

abc: 6.4844 6.4844 6.4844
angles: 60.00 60.00 60.00
Atoms (fractional coordinates):
Ca (0.3745, 0.3745, 0.3745)
Fe (0.0000, 0.0000, 0.0000)
Ca (0.8766, 0.3745, 0.3745)
Cu (0.7500, 0.7500, 0.7500)
Ca (0.3745, 0.8766, 0.3745)
Ca (0.3745, 0.3745, 0.8766)

Here is a relaxed Ca2FeCu crystal from Alexandria. Energies are from GGA-PBE.

Properties
- ΔH_f (0 K): 0.198 eV/atom
- Symmetry: Amm2
- E above lowest polymorph: 0.00 eV per formula unit
- Spin magnetization: 0.566 μB/atom

abc: 4.1767 4.2915 5.7812
angles: 68.26 90.00 90.00
Atoms (fractional coordinates):
Fe (0.5000, 0.5718, 0.7310)
Ca (0.0000, 0.9798, 0.9154)
Cu (0.0000, 0.6794, 0.5168)
Ca (0.5000, 0.2690, 0.3368)

Here is a relaxed Ca2FeCu crystal from Alexandria. Energies are from GGA-PBE.

Properties
- ΔH_f (0 K): 0.272 eV/atom
- Symmetry: Cm
- E above lowest polymorph: 0.29 eV per formula unit
- Spin magnetization: 0.588 μB/atom

abc: 6.1421 6.1421 4.8622
angles: 66.53 66.53 33.33
Atoms (fractional coordinates):
Ca (0.7728, 0.7728, 0.7278)
Cu (0.5433, 0.5433, 0.4557)
Fe (0.1970, 0.1970, 0.3036)
Ca (0.9868, 0.9868, 0.0128)

Here is a relaxed CaFe2Cu2 crystal from Alexandria. Energies are from GGA-PBE.

Properties
- ΔH_f (0 K): 0.225 eV/atom
- Symmetry: I4/mmm
- E above lowest polymorph: 0.00 eV per formula unit
- Spin magnetization: 1.060 μB/atom

abc: 3.7477 3.7477 6.3429
angles: 72.82 72.82 90.00
Atoms (fractional coordinates):
Cu (0.3924, 0.3924, 0.2152)
Fe (0.2500, 0.7500, 0.5000)
Ca (0.0000, 0.0000, 0.0000)
Cu (0.6076, 0.6076, 0.7848)
Fe (0.7500, 0.2500, 0.5000)

Here is a relaxed CaFeCu3 crystal from Alexandria. Energies are from GGA-PBE.

Properties
- ΔH_f (0 K): 0.423 eV/atom
- Symmetry: Pm-3m
- E above lowest polymorph: 0.00 eV per formula unit
- Spin magnetization: 0.515 μB/atom

abc: 4.5558 4.5558 4.5558
angles: 90.00 90.00 90.00
Atoms (fractional coordinates):
Ca (0.5000, 0.5000, 0.5000)
Cu (0.5000, 0.0000, 0.0000)
Cu (0.0000, 0.0000, 0.5000)
Fe (0.0000, 0.0000, 0.0000)
Cu (0.0000, 0.5000, 0.0000)

Here is a relaxed Ca2FeCu crystal from Alexandria. Energies are from GGA-PBE.

Properties
- ΔH_f (0 K): 0.317 eV/atom
- Symmetry: P4/mmm
- E above lowest polymorph: 0.47 eV per formula unit
- Spin magnetization: 0.605 μB/atom

abc: 3.4786 3.4734 7.4240
angles: 90.00 90.00 90.00
Atoms (fractional coordinates):
Ca (0.0000, 0.0000, 0.4972)
Ca (0.0000, 0.0000, 0.0028)
Fe (0.5000, 0.5000, 0.7500)
Cu (0.5000, 0.5000, 0.2500)

Here is a relaxed Ca2FeCu crystal from Alexandria. Energies are from GGA-PBE.

Properties
- ΔH_f (0 K): 0.511 eV/atom
- Symmetry: F-43m
- E above lowest polymorph: 1.25 eV per formula unit
- Spin magnetization: 0.614 μB/atom

abc: 4.9344 4.9344 4.9344
angles: 60.00 60.00 60.00
Atoms (fractional coordinates):
Cu (0.5000, 0.5000, 0.5000)
Ca (0.0000, 0.0000, 0.0000)
Ca (0.2500, 0.2500, 0.2500)
Fe (0.7500, 0.7500, 0.7500)

Here is a relaxed Ca2FeCu crystal from Alexandria. Energies are from GGA-PBE.

Properties
- ΔH_f (0 K): 0.530 eV/atom
- Symmetry: C2/m
- E above lowest polymorph: 1.33 eV per formula unit
- Spin magnetization: 0.564 μB/atom

abc: 3.8299 3.8299 8.5453
angles: 82.38 82.38 50.05
Atoms (fractional coordinates):
Ca (0.0030, 0.0030, 0.9965)
Fe (0.2500, 0.2500, 0.2500)
Cu (0.7500, 0.7500, 0.7500)
Ca (0.4970, 0.4970, 0.5035)

Here is a relaxed Ca2FeCu crystal from Alexandria. Energies are from GGA-PBE.

Properties
- ΔH_f (0 K): 0.281 eV/atom
- Symmetry: P4mm
- E above lowest polymorph: 0.33 eV per formula unit
- Spin magnetization: 0.706 μB/atom

abc: 3.3760 3.3760 8.2713
angles: 90.00 90.00 90.00
Atoms (fractional coordinates):
Ca (0.5000, 0.5000, 0.3246)
Cu (0.0000, 0.0000, 0.5675)
Ca (0.0000, 0.0000, 0.9269)
Fe (0.5000, 0.5000, 0.6810)

Here is a relaxed Ca2FeCu crystal from Alexandria. Energies are from GGA-PBE.

Properties
- ΔH_f (0 K): 0.535 eV/atom
- Symmetry: R-3m
- E above lowest polymorph: 1.35 eV per formula unit
- Spin magnetization: 0.637 μB/atom

abc: 9.0043 9.0043 9.0043
angles: 23.01 23.01 23.01
Atoms (fractional coordinates):
Fe (0.7500, 0.7500, 0.7500)
Ca (0.5010, 0.5010, 0.5010)
Ca (0.9990, 0.9990, 0.9990)
Cu (0.2500, 0.2500, 0.2500)

Here is a relaxed CaFeCu2I crystal from Alexandria. Energies are from GGA-PBE.

Properties
- Formation energy without anion corrections: 1378 meV/atom
- Symmetry: P4/mmm
- Spin magnetization: 0.632 μB/atom

abc: 5.1772 5.1772 5.3379
angles: 90.00 90.00 90.00
Atoms (fractional coordinates):
Cu (0.0000, 0.5000, 0.0000)
Cu (0.5000, 0.0000, 0.0000)
Fe (0.0000, 0.0000, 0.5000)
Ca (0.0000, 0.0000, 0.0000)
I (0.5000, 0.5000, 0.5000)

So what do the calculations give for raw total energy? Going down the list: -0.1570 -0.1300 -0.1383 -0.1447 -0.1899 -0.0904 -0.1449 -0.1422 -0.1911 -0.1517 -0.1405 -0.1334 -0.1327 -0.1418 -0.1325 -0.0979 Ha/atom.
So what do the calculations give for density of states at the Fermi level? Going down the list: 1.958 1.105 2.517 1.276 0.898 1.898 1.321 1.029 0.835 0.639 1.494 1.383 1.123 1.376 0.897 1.229 states/eV per atom.